(1)
{"formula": "KYPb2F8", "functional": "GGA-PBE", "state": "optimized geometry", "spacegroup": "No. 47", "formation_energy_uncorrected_ev_per_atom": -3.04, "lattice_angstrom": [[-1.963, 1.753, -3.156], [0.272, -5.152, -3.034], [-7.291, -2.302, 3.255]], "species": ["F", "Pb", "F", "F", "K", "F", "F", "F", "F", "F", "Pb", "Y"], "frac_coords": [[0.500, 0.724, 0.500], [0.500, 0.500, 0.257], [0.000, 0.240, 0.787], [0.500, 0.793, 0.000], [0.000, 0.000, 0.500], [0.500, 0.207, 0.000], [0.500, 0.276, 0.500], [0.000, 0.760, 0.213], [0.000, 0.240, 0.213], [0.000, 0.760, 0.787], [0.500, 0.500, 0.743], [0.000, 0.000, 0.000]]}

=====

(2)
{"formula": "KZnPbF6", "functional": "GGA-PBE", "state": "optimized geometry", "spacegroup": "No. 163", "formation_energy_uncorrected_ev_per_atom": -2.32, "lattice_angstrom": [[-0.667, 4.878, -3.184], [-2.898, -0.617, 5.059], [8.387, 4.652, 5.372]], "species": ["Zn", "F", "F", "Zn", "F", "K", "F", "F", "F", "F", "F", "K", "Pb", "F", "F", "F", "F", "Pb"], "frac_coords": [[0.333, 0.667, 0.250], [0.614, 0.639, 0.145], [0.386, 0.026, 0.645], [0.667, 0.333, 0.750], [0.639, 0.026, 0.855], [0.000, 0.000, 0.500], [0.026, 0.386, 0.145], [0.361, 0.386, 0.355], [0.639, 0.614, 0.645], [0.974, 0.361, 0.645], [0.974, 0.614, 0.855], [0.000, 0.000, 0.000], [0.333, 0.667, 0.750], [0.386, 0.361, 0.855], [0.614, 0.974, 0.355], [0.361, 0.974, 0.145], [0.026, 0.639, 0.355], [0.667, 0.333, 0.250]]}

=====

(3)
{"formula": "KZn2PbF8", "functional": "GGA-PBE", "state": "optimized geometry", "spacegroup": "No. 2", "formation_energy_uncorrected_ev_per_atom": -2.28, "lattice_angstrom": [[-1.727, 2.922, 3.970], [-1.203, -3.936, 3.307], [6.431, 0.062, 3.887]], "species": ["F", "F", "F", "Pb", "F", "Zn", "F", "F", "F", "F", "K", "Zn"], "frac_coords": [[0.652, 0.672, 0.501], [0.300, 0.275, 0.937], [0.700, 0.725, 0.063], [0.000, 0.000, 0.000], [0.229, 0.773, 0.778], [0.465, 0.463, 0.713], [0.348, 0.328, 0.499], [0.206, 0.750, 0.228], [0.794, 0.250, 0.772], [0.771, 0.227, 0.222], [0.000, 0.000, 0.500], [0.535, 0.537, 0.287]]}

=====

(4)
{"formula": "KZnPb2F8", "functional": "GGA-PBE", "state": "optimized geometry", "spacegroup": "No. 2", "formation_energy_uncorrected_ev_per_atom": -2.28, "lattice_angstrom": [[-2.641, -2.621, -2.036], [4.415, -3.378, -0.098], [-2.261, -3.149, 6.972]], "species": ["Zn", "F", "F", "K", "F", "F", "F", "F", "F", "F", "Pb", "Pb"], "frac_coords": [[0.000, 0.000, 0.000], [0.429, 0.227, 0.000], [0.955, 0.248, 0.795], [0.000, 0.000, 0.500], [0.571, 0.773, 0.000], [0.954, 0.246, 0.204], [0.045, 0.752, 0.205], [0.525, 0.277, 0.500], [0.475, 0.723, 0.500], [0.046, 0.754, 0.796], [0.501, 0.500, 0.241], [0.499, 0.500, 0.759]]}

=====

(5)
{"formula": "KZrPbF2", "functional": "GGA-PBE", "state": "optimized geometry", "spacegroup": "No. 123", "formation_energy_uncorrected_ev_per_atom": -0.55, "de_polymorph_mev_per_atom": 578, "lattice_angstrom": [[4.978, 0.000, 0.000], [0.000, 6.068, 0.000], [0.000, 0.000, 4.978]], "species": ["F", "Zr", "Pb", "K", "F"], "frac_coords": [[0.500, 0.000, 0.000], [0.000, 0.500, 0.000], [0.000, 0.000, 0.000], [0.500, 0.500, 0.500], [0.000, 0.000, 0.500]]}

=====

(6)
{"formula": "KZrPbF2", "functional": "GGA-PBE", "state": "optimized geometry", "spacegroup": "No. 123", "formation_energy_uncorrected_ev_per_atom": -1.13, "de_polymorph_mev_per_atom": 0, "lattice_angstrom": [[4.383, 0.000, 0.000], [0.000, 7.605, 0.000], [0.000, 0.000, 4.383]], "species": ["F", "Pb", "F", "Zr", "K"], "frac_coords": [[0.500, 0.000, 0.000], [0.500, 0.500, 0.500], [0.000, 0.000, 0.500], [0.000, 0.000, 0.000], [0.000, 0.500, 0.000]]}